Record 1
Entry from Alexandria via LeMat-Bulk: LaPaGe2 after structural relaxation (GGA-PBE).

Unit cell a=3.322 b=3.322 c=10.183 alpha=80.61 beta=80.61 gamma=60.00
Atoms (fractional coordinates):
1 Ge 0.748 0.748 0.756
2 Ge 0.252 0.252 0.244
3 Pa 0.000 0.000 0.000
4 La 0.500 0.500 0.500

Properties
SG	R-3m, No. 166

---

Record 2
Entry from Alexandria via LeMat-Bulk: La2PaGe after structural relaxation (GGA-PBE).

Unit cell a=4.722 b=4.754 c=4.754 alpha=90.00 beta=90.00 gamma=90.00
Atoms (fractional coordinates):
1 Ge 0.500 0.500 0.500
2 Pa 0.500 0.000 0.000
3 La 0.000 0.000 0.500
4 La 0.000 0.500 0.000

Properties
SG	P4/mmm, No. 123

---

Record 3
Entry from Alexandria via LeMat-Bulk: LaPaGe after structural relaxation (GGA-PBE).

Unit cell a=3.578 b=4.945 c=4.945 alpha=120.00 beta=90.00 gamma=90.00
Atoms (fractional coordinates):
1 Ge 0.030 0.000 0.000
2 Pa 0.290 0.667 0.333
3 La 0.680 0.333 0.667

Properties
SG	P3m1, No. 156

---

Record 4
Entry from Alexandria via LeMat-Bulk: La2PaGe after structural relaxation (GGA-PBE).

Unit cell a=3.274 b=3.274 c=11.775 alpha=82.01 beta=82.01 gamma=60.00
Atoms (fractional coordinates):
1 Ge 0.500 0.500 0.500
2 Pa 0.000 0.000 0.000
3 La 0.092 0.092 0.723
4 La 0.908 0.908 0.277

Properties
SG	R-3m, No. 166

---

Record 5
Entry from Alexandria via LeMat-Bulk: La2PaGe after structural relaxation (GGA-PBE).

Unit cell a=5.392 b=5.392 c=5.392 alpha=60.00 beta=60.00 gamma=60.00
Atoms (fractional coordinates):
1 Ge 0.500 0.500 0.500
2 Pa 0.000 0.000 0.000
3 La 0.250 0.250 0.250
4 La 0.750 0.750 0.750

Properties
SG	Fm-3m, No. 225

---

Record 6
Entry from Alexandria via LeMat-Bulk: LaPaGe2 after structural relaxation (GGA-PBE).

Unit cell a=5.147 b=5.147 c=5.147 alpha=60.00 beta=60.00 gamma=60.00
Atoms (fractional coordinates):
1 Ge 0.250 0.250 0.250
2 Ge 0.750 0.750 0.750
3 Pa 0.000 0.000 0.000
4 La 0.500 0.500 0.500

Properties
SG	Fm-3m, No. 225

---

Record 7
Entry from Alexandria via LeMat-Bulk: LaPa5Ge6 after structural relaxation (GGA-PBE).

Unit cell a=7.237 b=7.235 c=7.236 alpha=60.00 beta=80.42 gamma=70.55
Atoms (fractional coordinates):
1 Ge 0.742 0.087 0.345
2 Ge 0.258 0.569 0.345
3 Ge 0.254 0.261 0.000
4 Ge 0.746 0.739 0.000
5 Ge 0.742 0.431 0.655
6 Ge 0.258 0.913 0.655
7 Pa 0.500 0.163 0.674
8 Pa 0.000 0.332 0.336
9 Pa 0.500 0.500 0.000
10 Pa 0.000 0.668 0.664
11 Pa 0.500 0.837 0.326
12 La 0.000 0.000 0.000

Properties
SG	C2/m, No. 12

---

Record 8
Entry from Alexandria via LeMat-Bulk: LaPaGe after structural relaxation (GGA-PBE).

Unit cell a=3.764 b=3.764 c=12.133 alpha=98.92 beta=98.92 gamma=90.00
Atoms (fractional coordinates):
1 Pa 0.279 0.279 0.558
2 Pa 0.721 0.721 0.442
3 Ge 0.152 0.152 0.304
4 Ge 0.848 0.848 0.696
5 La 0.579 0.579 0.158
6 La 0.421 0.421 0.842

Properties
SG	I4/mmm, No. 139

---

Formation energy values (in eV/atom) by entry order: -0.243 -0.149 0.006 0.093 0.129 -0.378 -0.480 -0.292.
D(E_F) values (in states/eV per cell) by entry order: 4.27 6.83 6.21 4.61 7.01 8.17 14.16 9.50.
Total moment values (in μB per cell) by entry order: 0.000 0.000 0.941 0.000 1.740 0.595 0.000 0.000.